[1]
Crystalline LiZrAu3 at its relaxed geometry, computed with GGA-PBE.

Lattice parameters (Å, degrees): 5.298 5.298 5.298 90.00 90.00 90.00
Element x y z (fractional)
Li 0.000 0.000 0.000
Zr 0.500 0.500 0.500
Au 0.000 0.500 0.500
Au 0.500 0.000 0.500
Au 0.500 0.500 0.000

Summary:
excess energy over the best structure of this formula in the dataset = 0.722 eV/atom
energy of formation = 1.657 eV per formula unit

---

[2]
Crystalline Li3CdCu at its relaxed geometry, computed with GGA-PBE.

Lattice parameters (Å, degrees): 4.197 6.824 6.060 90.00 90.00 90.00
Element x y z (fractional)
Li 0.250 0.050 0.212
Li 0.250 0.250 0.770
Li 0.250 0.450 0.212
Li 0.750 0.550 0.788
Li 0.750 0.750 0.230
Li 0.750 0.950 0.788
Cd 0.250 0.750 0.533
Cd 0.750 0.250 0.467
Cu 0.250 0.750 0.967
Cu 0.750 0.250 0.033

Summary:
excess energy over the best structure of this formula in the dataset = 0.061 eV/atom
energy of formation = -0.243 eV per formula unit

---

[3]
Crystalline NpCrC2 at its relaxed geometry, computed with GGA-PBE.

Lattice parameters (Å, degrees): 5.601 5.601 5.601 32.25 32.25 32.25
Element x y z (fractional)
Np 0.000 0.000 0.000
Cr 0.500 0.500 0.500
C 0.235 0.235 0.235
C 0.765 0.765 0.765

Summary:
energy of formation = 0.489 eV per formula unit

---

[4]
Crystalline BaEuInHg at its relaxed geometry, computed with GGA-PBE.

Lattice parameters (Å, degrees): 5.794 5.794 5.794 60.00 60.00 60.00
Element x y z (fractional)
Ba 0.000 0.000 0.000
Eu 0.500 0.500 0.500
In 0.250 0.250 0.250
Hg 0.750 0.750 0.750

Summary:
energy of formation = -1.807 eV per formula unit

---

[5]
Crystalline CuAgRu at its relaxed geometry, computed with GGA-PBE.

Lattice parameters (Å, degrees): 2.723 2.723 6.849 90.00 90.00 120.00
Element x y z (fractional)
Cu 0.000 0.000 0.000
Ag 0.333 0.667 0.667
Ru 0.667 0.333 0.308

Summary:
excess energy over the best structure of this formula in the dataset = 0.178 eV/atom
energy of formation = 1.003 eV per formula unit

---

[6]
Crystalline PrScPaO6 at its relaxed geometry, computed with GGA-PBE.

Lattice parameters (Å, degrees): 5.726 5.726 4.733 90.00 90.00 120.00
Element x y z (fractional)
Pr 0.000 0.000 0.000
Sc 0.333 0.667 0.000
Pa 0.667 0.333 0.500
O 0.002 0.366 0.242
O 0.002 0.636 0.758
O 0.364 0.366 0.758
O 0.364 0.998 0.242
O 0.634 0.636 0.242
O 0.634 0.998 0.758

Summary:
ΔE_f (raw) = -2706 kJ/mol of formula units

---

[7]
Crystalline BaTa4Ag at its relaxed geometry, computed with GGA-PBE.

Lattice parameters (Å, degrees): 5.745 5.745 5.745 60.00 60.00 60.00
Element x y z (fractional)
Ba 0.000 0.000 0.000
Ta 0.121 0.626 0.626
Ta 0.626 0.121 0.626
Ta 0.626 0.626 0.121
Ta 0.626 0.626 0.626
Ag 0.250 0.250 0.250

Summary:
energy of formation = 5.189 eV per formula unit

---

[8]
Crystalline SrZr4Sb at its relaxed geometry, computed with GGA-PBE.

Lattice parameters (Å, degrees): 6.055 6.055 6.055 60.00 60.00 60.00
Element x y z (fractional)
Sr 0.000 0.000 0.000
Zr 0.115 0.628 0.628
Zr 0.628 0.115 0.628
Zr 0.628 0.628 0.115
Zr 0.628 0.628 0.628
Sb 0.250 0.250 0.250

Summary:
ΔE_f (raw) = 174 kJ/mol of formula units

---

Number 1: magnetic moment 0.00 Bohr magnetons per cell. Number 2: magnetic moment 0.00 Bohr magnetons per cell. Number 3: magnetic moment 2.37 Bohr magnetons per cell. Number 4: magnetic moment 6.97 Bohr magnetons per cell. Number 5: magnetic moment 0.08 Bohr magnetons per cell. Number 6: magnetic moment 0.80 Bohr magnetons per cell. Number 7: magnetic moment 0.00 Bohr magnetons per cell. Number 8: magnetic moment 0.00 Bohr magnetons per cell.